Entry 1:
! PBEsol Cs2Cd2Mo3O12, optimized geometry; values from VASP
&SYSTEM
  ibrav = 0, nat = 76, ntyp = 4
/
ATOMIC_SPECIES
Cs 132.91 Cs.upf
Cd 112.41 Cd.upf
Mo 95.94 Mo.upf
O 16.00 O.upf
ATOMIC_POSITIONS crystal
Cs 0.425 0.925 0.575
Cs 0.925 0.575 0.425
Cs 0.575 0.425 0.925
Cs 0.075 0.075 0.075
Cs 0.198 0.698 0.802
Cs 0.698 0.802 0.198
Cs 0.802 0.198 0.698
Cs 0.302 0.302 0.302
Cd 0.914 0.414 0.086
Cd 0.414 0.086 0.914
Cd 0.086 0.914 0.414
Cd 0.586 0.586 0.586
Cd 0.643 0.143 0.357
Cd 0.143 0.357 0.643
Cd 0.357 0.643 0.143
Cd 0.857 0.857 0.857
Mo 0.227 0.371 0.957
Mo 0.043 0.727 0.129
Mo 0.871 0.543 0.773
Mo 0.727 0.129 0.043
Mo 0.543 0.773 0.871
Mo 0.371 0.957 0.227
Mo 0.773 0.871 0.543
Mo 0.957 0.227 0.371
Mo 0.129 0.043 0.727
Mo 0.273 0.629 0.457
Mo 0.457 0.273 0.629
Mo 0.629 0.457 0.273
O 0.079 0.349 0.999
O 0.001 0.579 0.151
O 0.849 0.501 0.921
O 0.579 0.151 0.001
O 0.501 0.921 0.849
O 0.349 0.999 0.079
O 0.921 0.849 0.501
O 0.999 0.079 0.349
O 0.151 0.001 0.579
O 0.421 0.651 0.499
O 0.499 0.421 0.651
O 0.651 0.499 0.421
O 0.300 0.236 0.979
O 0.021 0.800 0.264
O 0.736 0.521 0.700
O 0.800 0.264 0.021
O 0.521 0.700 0.736
O 0.236 0.979 0.300
O 0.700 0.736 0.521
O 0.979 0.300 0.236
O 0.264 0.021 0.800
O 0.200 0.764 0.479
O 0.479 0.200 0.764
O 0.764 0.479 0.200
O 0.237 0.422 0.809
O 0.191 0.737 0.078
O 0.922 0.691 0.763
O 0.737 0.078 0.191
O 0.691 0.763 0.922
O 0.422 0.809 0.237
O 0.763 0.922 0.691
O 0.809 0.237 0.422
O 0.078 0.191 0.737
O 0.263 0.578 0.309
O 0.309 0.263 0.578
O 0.578 0.309 0.263
O 0.297 0.477 0.048
O 0.952 0.797 0.023
O 0.977 0.452 0.703
O 0.797 0.023 0.952
O 0.452 0.703 0.977
O 0.477 0.048 0.297
O 0.703 0.977 0.452
O 0.048 0.297 0.477
O 0.023 0.952 0.797
O 0.203 0.523 0.548
O 0.548 0.203 0.523
O 0.523 0.548 0.203
CELL_PARAMETERS angstrom
11.316 0.000 0.000
0.000 11.316 0.000
0.000 0.000 11.316
! E_form (uncorrected)   -1.89 eV/atom
! Energy   -0.2678 hartree per atom
! Total magnetic moment   0.0 μB/f.u.
! Space group   P2_13 (198)


Entry 2:
! PBEsol BaV2P4O14, optimized geometry; values from VASP
&SYSTEM
  ibrav = 0, nat = 21, ntyp = 4
/
ATOMIC_SPECIES
Ba 137.33 Ba.upf
V 50.94 V.upf
P 30.97 P.upf
O 16.00 O.upf
ATOMIC_POSITIONS crystal
Ba 0.000 0.000 0.000
V 0.377 0.693 0.227
V 0.623 0.307 0.773
P 0.183 0.466 0.808
P 0.817 0.534 0.192
P 0.482 0.248 0.335
P 0.518 0.752 0.665
O 0.782 0.356 0.032
O 0.218 0.644 0.968
O 0.430 0.020 0.220
O 0.570 0.980 0.780
O 0.933 0.322 0.737
O 0.067 0.678 0.263
O 0.743 0.397 0.343
O 0.257 0.603 0.657
O 0.473 0.236 0.524
O 0.527 0.764 0.476
O 0.686 0.635 0.761
O 0.314 0.365 0.239
O 0.668 0.694 0.157
O 0.332 0.306 0.843
CELL_PARAMETERS angstrom
-0.927 5.040 3.461
-1.927 -4.818 3.494
7.711 -1.292 1.034
! E_form (uncorrected)   -2.39 eV/atom
! Energy   -0.2943 hartree per atom
! Total magnetic moment   4.0 μB/f.u.
! Space group   P-1 (2)
! Energy relative to the lowest polymorph listed for this composition   0 meV per atom


Entry 3:
! PBEsol KLi2As, optimized geometry; values from VASP
&SYSTEM
  ibrav = 0, nat = 4, ntyp = 3
/
ATOMIC_SPECIES
As 74.92 As.upf
K 39.10 K.upf
Li 6.94 Li.upf
ATOMIC_POSITIONS crystal
As 0.500 0.500 0.500
K 0.500 0.000 0.000
Li 0.000 0.000 0.500
Li 0.000 0.500 0.000
CELL_PARAMETERS angstrom
4.025 0.000 0.000
0.000 4.655 0.000
0.000 0.000 4.655
! Formation enthalpy at 0 K   -157 meV/atom
! Energy   -0.0992 hartree per atom
! Total magnetic moment   0.0 μB/f.u.
! Space group   P4/mmm (123)


Entry 4:
! PBEsol KZnCd2, optimized geometry; values from VASP
&SYSTEM
  ibrav = 0, nat = 4, ntyp = 3
/
ATOMIC_SPECIES
Cd 112.41 Cd.upf
K 39.10 K.upf
Zn 65.41 Zn.upf
ATOMIC_POSITIONS crystal
Cd 0.187 0.000 0.004
Cd 0.777 0.500 0.181
K 0.446 0.000 0.517
Zn 0.089 0.500 0.798
CELL_PARAMETERS angstrom
3.053 0.000 -0.043
0.000 4.722 0.000
-1.464 0.000 6.884
! Formation enthalpy at 0 K   102 meV/atom
! Energy   -0.0432 hartree per atom
! Total magnetic moment   0.0 μB/f.u.
! Space group   Pm (6)


Entry 5:
! PBEsol CaCdBi2Au, optimized geometry; values from VASP
&SYSTEM
  ibrav = 0, nat = 5, ntyp = 4
/
ATOMIC_SPECIES
Ca 40.08 Ca.upf
Au 196.97 Au.upf
Bi 208.98 Bi.upf
Cd 112.41 Cd.upf
ATOMIC_POSITIONS crystal
Ca 0.000 0.000 0.000
Au 0.500 0.500 0.500
Bi 0.000 0.000 0.500
Bi 0.000 0.500 0.000
Cd 0.500 0.000 0.000
CELL_PARAMETERS angstrom
5.485 0.000 0.000
0.000 5.717 0.000
0.000 0.000 5.717
! Formation enthalpy at 0 K   867 meV/atom
! Energy   -0.0844 hartree per atom
! Total magnetic moment   0.0 μB/f.u.
! Space group   P4/mmm (123)


Entry 6:
! PBEsol RbAlF4, optimized geometry; values from VASP
&SYSTEM
  ibrav = 0, nat = 24, ntyp = 3
/
ATOMIC_SPECIES
Al 26.98 Al.upf
F 19.00 F.upf
Rb 85.47 Rb.upf
ATOMIC_POSITIONS crystal
Al 0.000 0.750 0.750
Al 0.000 0.250 0.250
Al 0.000 0.250 0.750
Al 0.000 0.750 0.250
F 0.997 0.793 0.000
F 0.997 0.207 0.000
F 0.003 0.293 0.500
F 0.003 0.707 0.500
F 0.031 0.500 0.792
F 0.031 0.500 0.208
F 0.969 0.000 0.708
F 0.969 0.000 0.292
F 0.282 0.771 0.748
F 0.282 0.229 0.252
F 0.718 0.271 0.752
F 0.718 0.729 0.248
F 0.718 0.729 0.752
F 0.718 0.271 0.248
F 0.282 0.229 0.748
F 0.282 0.771 0.252
Rb 0.477 0.500 0.000
Rb 0.523 0.000 0.500
Rb 0.520 0.000 0.000
Rb 0.480 0.500 0.500
CELL_PARAMETERS angstrom
-3.551 2.568 4.466
-5.955 -2.027 -3.570
-0.019 -6.292 3.603
! E_form (uncorrected)   -3.39 eV/atom
! Energy   -0.2030 hartree per atom
! Total magnetic moment   0.0 μB/f.u.
! Space group   Pmmn (59)


Entry 7:
! PBEsol GaB2Ir2, optimized geometry; values from VASP
&SYSTEM
  ibrav = 0, nat = 5, ntyp = 3
/
ATOMIC_SPECIES
B 10.81 B.upf
Ga 69.72 Ga.upf
Ir 192.22 Ir.upf
ATOMIC_POSITIONS crystal
B 0.250 0.750 0.500
B 0.750 0.250 0.500
Ga 0.000 0.000 0.000
Ir 0.377 0.377 0.753
Ir 0.623 0.623 0.247
CELL_PARAMETERS angstrom
3.077 0.000 0.000
0.000 3.077 0.000
-1.539 -1.539 5.982
! Formation enthalpy at 0 K   -321 meV/atom
! Energy   -0.2839 hartree per atom
! Total magnetic moment   0.0 μB/f.u.
! Space group   I4/mmm (139)


Entry 8:
! PBEsol NaP2PtS, optimized geometry; values from VASP
&SYSTEM
  ibrav = 0, nat = 5, ntyp = 4
/
ATOMIC_SPECIES
P 30.97 P.upf
S 32.06 S.upf
Pt 195.08 Pt.upf
Na 22.99 Na.upf
ATOMIC_POSITIONS crystal
P 0.000 0.000 0.500
P 0.000 0.500 0.000
S 0.500 0.000 0.000
Pt 0.500 0.500 0.500
Na 0.000 0.000 0.000
CELL_PARAMETERS angstrom
4.559 0.000 0.000
0.000 4.629 0.000
0.000 0.000 4.629
! E_form (uncorrected)   1.67 eV/atom
! Energy   -0.1173 hartree per atom
! Total magnetic moment   0.0 μB/f.u.
! Space group   P4/mmm (123)


Entry 9:
! PBEsol PHPbO2, optimized geometry; values from VASP
&SYSTEM
  ibrav = 0, nat = 5, ntyp = 4
/
ATOMIC_SPECIES
Pb 207.20 Pb.upf
P 30.97 P.upf
O 16.00 O.upf
H 1.01 H.upf
ATOMIC_POSITIONS crystal
Pb 0.000 0.000 0.000
P 0.500 0.500 0.500
O 0.000 0.000 0.500
O 0.000 0.500 0.000
H 0.500 0.000 0.000
CELL_PARAMETERS angstrom
-2.829 1.333 1.772
1.730 -1.348 3.777
2.065 3.826 0.420
! Energy   -0.1552 hartree per atom
! Total magnetic moment   0.1 μB/f.u.
! Space group   P4/mmm (123)


Entry 10:
! PBEsol LaSbAs2, optimized geometry; values from VASP
&SYSTEM
  ibrav = 0, nat = 4, ntyp = 3
/
ATOMIC_SPECIES
Sb 121.76 Sb.upf
As 74.92 As.upf
La 138.91 La.upf
ATOMIC_POSITIONS crystal
Sb 0.250 0.750 0.500
As 0.000 0.000 0.000
As 0.750 0.250 0.500
La 0.500 0.500 0.000
CELL_PARAMETERS angstrom
-1.770 3.732 0.961
-1.193 -1.536 3.768
5.999 0.508 -0.280
! E_form (uncorrected)   -0.66 eV/atom
! Energy   -0.2092 hartree per atom
! Total magnetic moment   0.0 μB/f.u.
! Space group   I-4m2 (119)


Entry 11:
! PBEsol Rh2W, optimized geometry; values from VASP
&SYSTEM
  ibrav = 0, nat = 9, ntyp = 2
/
ATOMIC_SPECIES
Rh 102.91 Rh.upf
W 183.84 W.upf
ATOMIC_POSITIONS crystal
Rh 0.000 0.000 0.303
Rh 0.500 0.000 0.641
Rh 0.000 0.697 0.697
Rh 0.000 0.303 0.000
Rh 0.500 0.359 0.359
Rh 0.500 0.641 0.000
W 0.500 0.000 0.000
W 0.000 0.667 0.333
W 0.000 0.333 0.667
CELL_PARAMETERS angstrom
-2.286 -1.191 0.918
2.742 0.012 6.842
-3.954 5.741 -2.396
! Formation enthalpy at 0 K   -166 meV/atom
! Energy   -0.3746 hartree per atom
! Total magnetic moment   0.0 μB/f.u.
! Space group   P-62m (189)


Entry 12:
! PBEsol BaYW2, optimized geometry; values from VASP
&SYSTEM
  ibrav = 0, nat = 4, ntyp = 3
/
ATOMIC_SPECIES
Ba 137.33 Ba.upf
W 183.84 W.upf
Y 88.91 Y.upf
ATOMIC_POSITIONS crystal
Ba 0.000 0.000 0.000
W 0.250 0.250 0.250
W 0.750 0.750 0.750
Y 0.500 0.500 0.500
CELL_PARAMETERS angstrom
5.017 0.000 0.000
2.508 4.345 0.000
2.508 1.448 4.096
! Formation enthalpy at 0 K   1656 meV/atom
! Energy   -0.2753 hartree per atom
! Total magnetic moment   0.6 μB/f.u.
! Space group   Fm-3m (225)
! Energy relative to the lowest polymorph listed for this composition   1098 meV per atom


Entry 13:
! PBEsol TiSnP2O8, optimized geometry; values from VASP
&SYSTEM
  ibrav = 0, nat = 24, ntyp = 4
/
ATOMIC_SPECIES
Ti 47.87 Ti.upf
Sn 118.71 Sn.upf
P 30.97 P.upf
O 16.00 O.upf
ATOMIC_POSITIONS crystal
Ti 0.336 0.250 0.798
Ti 0.664 0.750 0.202
Sn 0.785 0.750 0.689
Sn 0.215 0.250 0.311
P 0.385 0.750 0.900
P 0.683 0.250 0.626
P 0.317 0.750 0.374
P 0.615 0.250 0.100
O 0.591 0.250 0.952
O 0.672 0.750 0.871
O 0.219 0.954 0.845
O 0.219 0.546 0.845
O 0.548 0.066 0.694
O 0.548 0.434 0.694
O 0.996 0.250 0.679
O 0.381 0.750 0.516
O 0.619 0.250 0.484
O 0.004 0.750 0.321
O 0.452 0.934 0.306
O 0.452 0.566 0.306
O 0.781 0.454 0.155
O 0.781 0.046 0.155
O 0.328 0.250 0.129
O 0.409 0.750 0.048
CELL_PARAMETERS angstrom
4.965 0.000 -0.428
0.000 6.227 0.000
-1.242 0.000 10.609
! E_form (uncorrected)   -2.26 eV/atom
! Energy   -0.2858 hartree per atom
! Total magnetic moment   0.0 μB/f.u.
! Space group   P2_1/m (11)


Entry 14:
! PBEsol Ni2HgIr, optimized geometry; values from VASP
&SYSTEM
  ibrav = 0, nat = 4, ntyp = 3
/
ATOMIC_SPECIES
Hg 200.59 Hg.upf
Ir 192.22 Ir.upf
Ni 58.69 Ni.upf
ATOMIC_POSITIONS crystal
Hg 0.500 0.500 0.500
Ir 0.000 0.000 0.000
Ni 0.255 0.255 0.234
Ni 0.745 0.745 0.766
CELL_PARAMETERS angstrom
-0.489 2.682 0.342
-1.675 1.323 -1.730
-7.277 -0.491 4.490
! Formation enthalpy at 0 K   233 meV/atom
! Energy   -0.2000 hartree per atom
! Total magnetic moment   0.0 μB/f.u.
! Space group   R-3m (166)


Entry 15:
! PBEsol TlSiTe, optimized geometry; values from VASP
&SYSTEM
  ibrav = 0, nat = 3, ntyp = 3
/
ATOMIC_SPECIES
Tl 204.38 Tl.upf
Te 127.60 Te.upf
Si 28.09 Si.upf
ATOMIC_POSITIONS crystal
Tl 0.500 0.500 0.500
Te 0.000 0.000 0.000
Si 0.750 0.750 0.750
CELL_PARAMETERS angstrom
4.881 0.000 0.000
2.441 4.227 0.000
2.441 1.409 3.985
! E_form (uncorrected)   0.38 eV/atom
! Energy   -0.1319 hartree per atom
! Total magnetic moment   0.0 μB/f.u.
! Space group   F-43m (216)
! Energy relative to the lowest polymorph listed for this composition   213 meV per atom


Entry 16:
! PBEsol SrSiCSe2, optimized geometry; values from VASP
&SYSTEM
  ibrav = 0, nat = 5, ntyp = 4
/
ATOMIC_SPECIES
Sr 87.62 Sr.upf
Si 28.09 Si.upf
C 12.01 C.upf
Se 78.96 Se.upf
ATOMIC_POSITIONS crystal
Sr 0.500 0.500 0.500
Si 0.000 0.000 0.000
C 0.500 0.000 0.000
Se 0.000 0.000 0.500
Se 0.000 0.500 0.000
CELL_PARAMETERS angstrom
-0.532 0.428 -3.653
-0.454 -5.048 -0.525
-5.022 0.371 0.775
! E_form (uncorrected)   -0.14 eV/atom
! Energy   -0.1884 hartree per atom
! Total magnetic moment   0.0 μB/f.u.
! Space group   P4/mmm (123)


Entry 17:
! PBEsol BeReRu, optimized geometry; values from VASP
&SYSTEM
  ibrav = 0, nat = 3, ntyp = 3
/
ATOMIC_SPECIES
Re 186.21 Re.upf
Be 9.01 Be.upf
Ru 101.07 Ru.upf
ATOMIC_POSITIONS crystal
Re 0.340 0.340 0.680
Be 0.003 0.003 0.007
Ru 0.657 0.657 0.313
CELL_PARAMETERS angstrom
-1.337 2.169 -0.653
-0.117 -1.898 -1.818
-4.124 -2.339 3.850
! Formation enthalpy at 0 K   248 meV/atom
! Energy   -0.3278 hartree per atom
! Total magnetic moment   0.0 μB/f.u.
! Space group   Fmm2 (42)
! Energy relative to the lowest polymorph listed for this composition   450 meV per atom


Entry 18:
! PBEsol ScPH4O6, optimized geometry; values from VASP
&SYSTEM
  ibrav = 0, nat = 48, ntyp = 4
/
ATOMIC_SPECIES
Sc 44.96 Sc.upf
P 30.97 P.upf
H 1.01 H.upf
O 16.00 O.upf
ATOMIC_POSITIONS crystal
Sc 0.588 0.706 0.326
Sc 0.912 0.794 0.826
Sc 0.412 0.294 0.674
Sc 0.088 0.206 0.174
P 0.093 0.818 0.143
P 0.407 0.682 0.643
P 0.907 0.182 0.857
P 0.593 0.318 0.357
H 0.834 0.746 0.543
H 0.666 0.754 0.043
H 0.166 0.254 0.457
H 0.334 0.246 0.957
H 0.075 0.709 0.455
H 0.425 0.791 0.955
H 0.925 0.291 0.545
H 0.575 0.209 0.045
H 0.660 0.030 0.333
H 0.840 0.470 0.833
H 0.340 0.970 0.667
H 0.160 0.530 0.167
H 0.380 0.972 0.301
H 0.120 0.528 0.801
H 0.620 0.028 0.699
H 0.880 0.472 0.199
O 0.829 0.752 0.172
O 0.671 0.748 0.672
O 0.171 0.248 0.828
O 0.329 0.252 0.328
O 0.133 0.977 0.205
O 0.367 0.523 0.705
O 0.867 0.023 0.795
O 0.633 0.477 0.295
O 0.284 0.712 0.202
O 0.216 0.788 0.702
O 0.716 0.288 0.798
O 0.784 0.212 0.298
O 0.128 0.827 0.994
O 0.372 0.673 0.494
O 0.872 0.173 0.006
O 0.628 0.327 0.506
O 0.895 0.735 0.451
O 0.605 0.765 0.951
O 0.105 0.265 0.549
O 0.395 0.235 0.049
O 0.539 0.942 0.344
O 0.961 0.558 0.844
O 0.461 0.058 0.656
O 0.039 0.442 0.156
CELL_PARAMETERS angstrom
-0.516 2.836 4.554
-7.182 -4.849 1.730
5.838 -6.882 4.947
! Energy   -0.2484 hartree per atom
! Total magnetic moment   0.0 μB/f.u.
! Space group   P2_1/c (14)


Entry 19:
! PBEsol Y2MgTeCl, optimized geometry; values from VASP
&SYSTEM
  ibrav = 0, nat = 5, ntyp = 4
/
ATOMIC_SPECIES
Y 88.91 Y.upf
Mg 24.30 Mg.upf
Te 127.60 Te.upf
Cl 35.45 Cl.upf
ATOMIC_POSITIONS crystal
Y 0.000 0.500 0.000
Y 0.500 0.000 0.000
Mg 0.500 0.500 0.500
Te 0.000 0.000 0.000
Cl 0.000 0.000 0.500
CELL_PARAMETERS angstrom
5.581 0.000 0.000
0.000 5.581 0.000
0.000 0.000 6.106
! E_form (uncorrected)   0.01 eV/atom
! Energy   -0.1533 hartree per atom
! Total magnetic moment   0.0 μB/f.u.
! Space group   P4/mmm (123)